1.
{"formula": "V2SiGe", "functional": "PBE", "state": "relaxed", "lattice_angstrom": [[4.5773, 0.0000, 0.0000], [0.0000, 4.5783, 0.0000], [0.0000, 0.0000, 10.4383]], "species": ["V", "V", "V", "V", "V", "V", "V", "V", "Si", "Si", "Si", "Si", "Ge", "Ge", "Ge", "Ge"], "frac_coords": [[0.0000, 0.2500, 0.0620], [0.0000, 0.2500, 0.5659], [0.0000, 0.7500, 0.4341], [0.0000, 0.7500, 0.9380], [0.5000, 0.2500, 0.4380], [0.5000, 0.2500, 0.9341], [0.5000, 0.7500, 0.0659], [0.5000, 0.7500, 0.5620], [0.0000, 0.2500, 0.8157], [0.0000, 0.7500, 0.1843], [0.5000, 0.2500, 0.6843], [0.5000, 0.7500, 0.3157], [0.0000, 0.2500, 0.3177], [0.0000, 0.7500, 0.6823], [0.5000, 0.2500, 0.1823], [0.5000, 0.7500, 0.8177]], "raw_formation_energy_kj_per_mol_fu": -111, "final_energy_ev_per_atom": -7.356, "space_group": "No. 74", "magmom_total_mub_per_atom": 0.000}

=====

2.
{"formula": "V10Si3Ge3", "functional": "PBE", "state": "relaxed", "lattice_angstrom": [[7.1880, 0.0000, 0.0000], [-3.5940, 6.2250, 0.0000], [0.0000, 0.0000, 4.8817]], "species": ["V", "V", "V", "V", "V", "V", "V", "V", "V", "V", "Si", "Si", "Si", "Ge", "Ge", "Ge"], "frac_coords": [[0.0000, 0.2441, 0.0000], [0.0000, 0.7594, 0.5000], [0.2406, 0.2406, 0.5000], [0.2441, 0.0000, 0.0000], [0.3333, 0.6667, 0.2552], [0.3333, 0.6667, 0.7448], [0.6667, 0.3333, 0.2552], [0.6667, 0.3333, 0.7448], [0.7559, 0.7559, 0.0000], [0.7594, 0.0000, 0.5000], [0.0000, 0.3930, 0.5000], [0.3930, 0.0000, 0.5000], [0.6070, 0.6070, 0.5000], [0.0000, 0.6048, 0.0000], [0.3952, 0.3952, 0.0000], [0.6048, 0.0000, 0.0000]], "de_polymorph_mev_per_atom": 42, "raw_formation_energy_kj_per_mol_fu": -649, "final_energy_ev_per_atom": -8.002, "space_group": "No. 189", "magmom_total_mub_per_atom": 0.118}

=====

3.
{"formula": "V4SiGe2", "functional": "PBE", "state": "relaxed", "lattice_angstrom": [[4.2882, 0.0000, 0.0000], [0.0000, 4.2882, 0.0000], [0.0000, 0.0000, 13.1248]], "species": ["V", "V", "V", "V", "V", "V", "V", "V", "Si", "Si", "Ge", "Ge", "Ge", "Ge"], "frac_coords": [[0.0000, 0.0000, 0.1782], [0.0000, 0.0000, 0.8218], [0.0000, 0.5000, 0.0000], [0.0000, 0.5000, 0.5000], [0.5000, 0.0000, 0.0000], [0.5000, 0.0000, 0.5000], [0.5000, 0.5000, 0.3218], [0.5000, 0.5000, 0.6782], [0.0000, 0.0000, 0.0000], [0.5000, 0.5000, 0.5000], [0.0000, 0.0000, 0.3693], [0.0000, 0.0000, 0.6307], [0.5000, 0.5000, 0.1307], [0.5000, 0.5000, 0.8693]], "de_polymorph_mev_per_atom": 711, "raw_formation_energy_kj_per_mol_fu": 292, "final_energy_ev_per_atom": -6.872, "space_group": "No. 139", "magmom_total_mub_per_atom": 0.737}

=====

4.
{"formula": "V12Si6Ge", "functional": "PBE", "state": "relaxed", "lattice_angstrom": [[5.5328, 3.1944, 2.5088], [-5.5328, 3.1944, 2.5088], [0.0000, -6.3887, 2.5088]], "species": ["V", "V", "V", "V", "V", "V", "V", "V", "V", "V", "V", "V", "Si", "Si", "Si", "Si", "Si", "Si", "Ge"], "frac_coords": [[0.0701, 0.4844, 0.1951], [0.1630, 0.4513, 0.6081], [0.1951, 0.0701, 0.4844], [0.3919, 0.8370, 0.5487], [0.4513, 0.6081, 0.1630], [0.4844, 0.1951, 0.0701], [0.5156, 0.8049, 0.9299], [0.5487, 0.3919, 0.8370], [0.6081, 0.1630, 0.4513], [0.8049, 0.9299, 0.5156], [0.8370, 0.5487, 0.3919], [0.9299, 0.5156, 0.8049], [0.1427, 0.8554, 0.7507], [0.1446, 0.2493, 0.8573], [0.2493, 0.8573, 0.1446], [0.7507, 0.1427, 0.8554], [0.8554, 0.7507, 0.1427], [0.8573, 0.1446, 0.2493], [0.5000, 0.5000, 0.5000]], "raw_formation_energy_kj_per_mol_fu": -369, "final_energy_ev_per_atom": -7.916, "space_group": "No. 148", "magmom_total_mub_per_atom": 0.000}

=====

5.
{"formula": "V8SiGe2", "functional": "PBE", "state": "relaxed", "lattice_angstrom": [[6.2617, -2.0987, 0.0000], [6.2617, 2.0987, 0.0000], [-3.0131, 0.0000, 5.6411]], "species": ["V", "V", "V", "V", "V", "V", "V", "V", "Si", "Ge", "Ge"], "frac_coords": [[0.0337, 0.0337, 0.2406], [0.1433, 0.1433, 0.6882], [0.3204, 0.3204, 0.6083], [0.4089, 0.4089, 0.0541], [0.5911, 0.5911, 0.9459], [0.6796, 0.6796, 0.3917], [0.8567, 0.8567, 0.3118], [0.9663, 0.9663, 0.7594], [0.5000, 0.5000, 0.5000], [0.2111, 0.2111, 0.1504], [0.7889, 0.7889, 0.8496]], "raw_formation_energy_kj_per_mol_fu": -310, "final_energy_ev_per_atom": -8.256, "space_group": "No. 12", "magmom_total_mub_per_atom": 0.000}

=====

6.
{"formula": "V2Si2Ge", "functional": "PBE", "state": "relaxed", "lattice_angstrom": [[6.4692, 0.0000, 0.0000], [0.0000, 6.4692, 0.0000], [0.0000, 0.0000, 3.2998]], "species": ["V", "V", "V", "V", "Si", "Si", "Si", "Si", "Ge", "Ge"], "frac_coords": [[0.1725, 0.3275, 0.0000], [0.3275, 0.8275, 0.0000], [0.6725, 0.1725, 0.0000], [0.8275, 0.6725, 0.0000], [0.1270, 0.6270, 0.5000], [0.3730, 0.1270, 0.5000], [0.6270, 0.8730, 0.5000], [0.8730, 0.3730, 0.5000], [0.0000, 0.0000, 0.5000], [0.5000, 0.5000, 0.5000]], "de_polymorph_mev_per_atom": 109, "raw_formation_energy_kj_per_mol_fu": -44, "final_energy_ev_per_atom": -6.831, "space_group": "No. 127", "magmom_total_mub_per_atom": 0.000}

=====

7.
{"formula": "V7Si2Ge2", "functional": "PBE", "state": "relaxed", "lattice_angstrom": [[3.3482, -4.4238, 0.0000], [3.3482, 4.4238, 0.0000], [0.0000, 0.0000, 5.7828]], "species": ["V", "V", "V", "V", "V", "V", "V", "Si", "Si", "Ge", "Ge"], "frac_coords": [[0.0000, 0.0000, 0.0000], [0.0000, 0.5000, 0.3023], [0.0000, 0.5000, 0.6977], [0.5000, 0.0000, 0.3023], [0.5000, 0.0000, 0.6977], [0.5000, 0.5000, 0.2869], [0.5000, 0.5000, 0.7131], [0.1755, 0.1755, 0.5000], [0.8245, 0.8245, 0.5000], [0.2915, 0.7085, 0.0000], [0.7085, 0.2915, 0.0000]], "raw_formation_energy_kj_per_mol_fu": 175, "final_energy_ev_per_atom": -7.463, "space_group": "No. 65", "magmom_total_mub_per_atom": 0.135}

=====

8.
{"formula": "V2SiGe", "functional": "PBE", "state": "relaxed", "lattice_angstrom": [[3.8190, 0.0000, 0.0000], [0.0000, 3.8190, 0.0000], [0.0000, 0.0000, 3.7145]], "species": ["V", "V", "Si", "Ge"], "frac_coords": [[0.0000, 0.5000, 0.0000], [0.5000, 0.0000, 0.0000], [0.0000, 0.0000, 0.5000], [0.5000, 0.5000, 0.5000]], "raw_formation_energy_kj_per_mol_fu": -37, "final_energy_ev_per_atom": -7.166, "space_group": "No. 123", "magmom_total_mub_per_atom": 0.000}